ZrPS2F | PBE-GGA | optimized geometry

Values from the calculation:
total magnetization = 0.000 μB/atom
total energy = -4.84 eV/atom
volume = 83 Å³/cell
offset from the most stable computed form = 121 meV per atom
formation energy (no corrections) = -0.02 eV/atom

Cell: 4.746 4.746 3.706 Å, 90.00 90.00 90.00°
Element x y z (fractional)
S 0.000 0.500 0.000
S 0.500 0.000 0.000
P 0.000 0.000 0.500
F 0.000 0.000 0.000
Zr 0.500 0.500 0.500